First-principles (PBE with a Hubbard U) data for crystalline MoAu2F2 at its relaxed geometry, as listed in the Alexandria database.

density	10.73	g/cm3
SG	I4/mmm, No. 139
E above lowest polymorph	0	meV per atom
VASP energy	-19.40	eV per cell

Lattice parameters (Å, degrees): 3.7583 3.7583 6.3644 72.83 72.83 90.00
Each line ends with the local moment (μB).
Atoms (fractional coordinates):
Mo 0.0000 0.0000 0.0000  3.44
Au 0.3848 0.3848 0.2303  0.07
Au 0.6152 0.6152 0.7697  0.07
F 0.7500 0.2500 0.5000  0.03
F 0.2500 0.7500 0.5000  0.03